First-principles (SCAN) data for a crystal of KIn relaxed with PBEsol, as listed in Alexandria.

Cell: 5.1597 5.1597 6.8561 Å, 67.90 67.90 60.00°
Closest atoms and distances in Å follow each position.
Element x y z (fractional)
In: 0.3344 0.3344 0.9969  3 In 2.98
In: 0.6656 0.6656 0.0031  3 In 2.98
K: 0.1083 0.1083 0.6752  6 In 3.58-3.60, 3 K 3.68
K: 0.8917 0.8917 0.3248  6 In 3.58-3.60, 3 K 3.68

Results
The energy relative to the elements comes out at -0.245 eV per atom. For the volume, the calculation gives 35.59 A^3/atom. The total energy comes out at -42.21 eV/f.u.


First-principles (SCAN) data for a crystal of KIn2 relaxed with PBEsol, as listed in Alexandria.

Cell: 5.2902 5.3751 7.0354 Å, 112.46 90.00 90.00°
Closest atoms and distances in Å follow each position.
Element x y z (fractional)
In: 0.7500 0.1492 0.6199  6 In 3.11-3.22, 1 K 3.47
In: 0.2500 0.4707 0.6199  6 In 3.11-3.22, 1 K 3.47
In: 0.2500 0.8508 0.3801  6 In 3.11-3.22, 1 K 3.47
In: 0.7500 0.5293 0.3801  6 In 3.11-3.22, 1 K 3.47
K: 0.2500 0.2064 0.0000  2 K 3.45, 8 In 3.47-3.83
K: 0.7500 0.7936 0.0000  2 K 3.45, 8 In 3.47-3.83

Results
The energy relative to the elements comes out at -0.163 eV per atom. For the volume, the calculation gives 30.81 A^3/atom. The total energy comes out at -75.59 eV/f.u.


> Among the records above, which one has the highest energy relative to the elements?

KIn2


Repeat the first record exactly.
First-principles (SCAN) data for a crystal of KIn relaxed with PBEsol, as listed in Alexandria.

Cell: 5.1597 5.1597 6.8561 Å, 67.90 67.90 60.00°
Closest atoms and distances in Å follow each position.
Element x y z (fractional)
In: 0.3344 0.3344 0.9969  3 In 2.98
In: 0.6656 0.6656 0.0031  3 In 2.98
K: 0.1083 0.1083 0.6752  6 In 3.58-3.60, 3 K 3.68
K: 0.8917 0.8917 0.3248  6 In 3.58-3.60, 3 K 3.68

Results
The energy relative to the elements comes out at -0.245 eV per atom. For the volume, the calculation gives 35.59 A^3/atom. The total energy comes out at -42.21 eV/f.u.


> The highest energy relative to the elements belongs to which entry?

KIn2